1.
First-principles (PBE) data for a relaxed TbDy2Tc crystal, as listed in Alexandria via LeMat-Bulk.

Computed properties:
- space group = P4/mmm
- density of states at the Fermi level (states/eV/atom) = 1.598
- calculated formation energy (eV per atom) = 0.028
- total magnetic moment (μB/cell) = 0.00

a = 3.455 Å, b = 3.455 Å, c = 8.885 Å
α = 90.00°, β = 90.00°, γ = 90.00°
Atoms (fractional coordinates):
Tc1 0.500 0.500 0.000
Dy1 0.000 0.000 0.185
Tb1 0.500 0.500 0.500
Dy2 0.000 0.000 0.815

***

2.
First-principles (PBE) data for a relaxed TbDy4Tc2 crystal, as listed in Alexandria via LeMat-Bulk.

Computed properties:
- space group = P2_1/m
- density of states at the Fermi level (states/eV/atom) = 0.715
- calculated formation energy (eV per atom) = -0.021
- total magnetic moment (μB/cell) = 0.00

a = 6.325 Å, b = 7.888 Å, c = 7.815 Å
α = 111.86°, β = 90.00°, γ = 90.00°
Atoms (fractional coordinates):
Dy1 0.999 0.416 0.760
Tc1 0.750 0.755 0.034
Tc2 0.750 0.383 0.422
Tb1 0.250 0.842 0.972
Tc3 0.250 0.617 0.578
Dy2 0.250 0.973 0.612
Dy3 0.499 0.584 0.240
Dy4 0.501 0.416 0.760
Dy5 0.250 0.248 0.322
Dy6 0.750 0.752 0.678
Dy7 0.750 0.027 0.388
Dy8 0.001 0.584 0.240
Tc4 0.250 0.245 0.966
Tb2 0.750 0.158 0.028

***

3.
First-principles (PBE) data for a relaxed Tb2DyTc9 crystal, as listed in Alexandria via LeMat-Bulk.

Computed properties:
- space group = R-3m
- density of states at the Fermi level (states/eV/atom) = 1.167
- calculated formation energy (eV per atom) = -0.037
- total magnetic moment (μB/cell) = 0.00

a = 5.356 Å, b = 5.356 Å, c = 9.279 Å
α = 73.23°, β = 73.23°, γ = 60.00°
Atoms (fractional coordinates):
Tc1 0.588 0.588 0.751
Tc2 0.500 0.500 0.500
Tb1 0.856 0.856 0.431
Tc3 0.412 0.927 0.249
Tc4 0.927 0.412 0.249
Tc5 0.412 0.412 0.249
Tc6 0.588 0.073 0.751
Tb2 0.144 0.144 0.569
Tc7 0.338 0.338 0.986
Tc8 0.662 0.662 0.014
Tc9 0.073 0.588 0.751
Dy1 0.000 0.000 0.000

***

4.
First-principles (PBE) data for a relaxed TbDy2Tc crystal, as listed in Alexandria via LeMat-Bulk.

Computed properties:
- space group = Pnma
- density of states at the Fermi level (states/eV/atom) = 0.856
- calculated formation energy (eV per atom) = -0.098
- total magnetic moment (μB/cell) = 0.00

a = 6.268 Å, b = 7.432 Å, c = 9.182 Å
α = 90.00°, β = 90.00°, γ = 90.00°
Atoms (fractional coordinates):
Tc1 0.959 0.614 0.750
Dy1 0.341 0.177 0.064
Dy2 0.659 0.823 0.564
Dy3 0.159 0.677 0.436
Tb1 0.371 0.457 0.750
Dy4 0.659 0.823 0.936
Tb2 0.629 0.543 0.250
Tb3 0.129 0.957 0.750
Dy5 0.841 0.323 0.564
Dy6 0.841 0.323 0.936
Dy7 0.341 0.177 0.436
Tb4 0.871 0.043 0.250
Dy8 0.159 0.677 0.064
Tc2 0.459 0.886 0.250
Tc3 0.541 0.114 0.750
Tc4 0.041 0.386 0.250

***

5.
First-principles (PBE) data for a relaxed Tb3Dy2Tc2 crystal, as listed in Alexandria via LeMat-Bulk.

Computed properties:
- space group = C2/m
- density of states at the Fermi level (states/eV/atom) = 0.712
- calculated formation energy (eV per atom) = -0.055
- total magnetic moment (μB/cell) = 0.00

a = 3.844 Å, b = 6.393 Å, c = 8.497 Å
α = 104.40°, β = 103.06°, γ = 107.51°
Atoms (fractional coordinates):
Tb1 0.808 0.183 0.432
Tb2 0.192 0.817 0.568
Tb3 0.500 0.000 0.000
Dy1 0.346 0.509 0.183
Tc1 0.036 0.858 0.214
Tc2 0.964 0.142 0.786
Dy2 0.654 0.491 0.817

***

6.
First-principles (PBE) data for a relaxed TbDy2Tc crystal, as listed in Alexandria via LeMat-Bulk.

Computed properties:
- space group = Cmcm
- density of states at the Fermi level (states/eV/atom) = 0.862
- calculated formation energy (eV per atom) = -0.096
- total magnetic moment (μB/cell) = 0.00

a = 3.911 Å, b = 6.275 Å, c = 9.182 Å
α = 90.00°, β = 90.00°, γ = 108.18°
Atoms (fractional coordinates):
Dy1 0.645 0.289 0.067
Tc1 0.261 0.522 0.250
Tb1 0.073 0.146 0.750
Dy2 0.645 0.289 0.433
Tc2 0.739 0.478 0.750
Dy3 0.355 0.711 0.933
Dy4 0.355 0.711 0.567
Tb2 0.927 0.854 0.250

***

7.
First-principles (PBE) data for a relaxed TbDyThTc crystal, as listed in Alexandria via LeMat-Bulk.

Computed properties:
- space group = R3m
- density of states at the Fermi level (states/eV/atom) = 1.046
- calculated formation energy (eV per atom) = 0.160
- total magnetic moment (μB/cell) = 0.00

a = 4.738 Å, b = 4.741 Å, c = 6.567 Å
α = 89.98°, β = 111.12°, γ = 120.01°
Atoms (fractional coordinates):
Th1 0.830 0.280 0.109
Dy1 0.370 0.049 0.419
Tb1 0.941 0.835 0.776
Tc1 0.552 0.641 0.192

***

8.
First-principles (PBE) data for a relaxed TbDy2Te4 crystal, as listed in Alexandria via LeMat-Bulk.

Computed properties:
- uncorrected formation energy (eV per formula unit) = -9.4
- space group = Cmcm
- density of states at the Fermi level (states/eV/atom) = 0.427
- total magnetic moment (μB/cell) = 0.00

a = 4.242 Å, b = 7.464 Å, c = 14.955 Å
α = 90.00°, β = 90.00°, γ = 106.51°
Atoms (fractional coordinates):
Tb1 0.628 0.256 0.750
Dy1 0.869 0.737 0.931
Te1 0.779 0.557 0.122
Te2 0.779 0.557 0.378
Te3 0.221 0.443 0.878
Te4 0.221 0.443 0.622
Dy2 0.131 0.263 0.431
Te5 0.500 0.000 0.000
Te6 0.969 0.937 0.750
Te7 0.500 0.000 0.500
Dy3 0.131 0.263 0.069
Dy4 0.869 0.737 0.569
Te8 0.031 0.063 0.250
Tb2 0.372 0.744 0.250

***

9.
First-principles (PBE) data for a relaxed TbDy3Te4 crystal, as listed in Alexandria via LeMat-Bulk.

Computed properties:
- uncorrected formation energy (eV per formula unit) = -10.3
- space group = Cmmm
- density of states at the Fermi level (states/eV/atom) = 0.617
- total magnetic moment (μB/cell) = 0.00

a = 4.298 Å, b = 7.580 Å, c = 7.580 Å
α = 108.77°, β = 90.00°, γ = 90.00°
Atoms (fractional coordinates):
Te1 0.500 0.251 0.749
Dy1 0.500 0.500 0.500
Te2 0.000 0.749 0.749
Te3 0.500 0.749 0.251
Tb1 0.500 0.000 0.000
Dy2 0.000 0.000 0.500
Te4 0.000 0.251 0.251
Dy3 0.000 0.500 0.000

***

10.
First-principles (PBE) data for a relaxed TbDyTe crystal, as listed in Alexandria via LeMat-Bulk.

Computed properties:
- uncorrected formation energy (eV per formula unit) = -2.3
- space group = I4mm
- density of states at the Fermi level (states/eV/atom) = 0.691
- total magnetic moment (μB/cell) = 0.00

a = 3.871 Å, b = 3.871 Å, c = 6.411 Å
α = 107.57°, β = 107.57°, γ = 90.00°
Atoms (fractional coordinates):
Tb1 0.989 0.989 0.978
Dy1 0.678 0.678 0.357
Te1 0.332 0.332 0.665

***

11.
First-principles (PBE) data for a relaxed Tb4DyTe4 crystal, as listed in Alexandria via LeMat-Bulk.

Computed properties:
- uncorrected formation energy (eV per formula unit) = -6.9
- space group = I-42m
- density of states at the Fermi level (states/eV/atom) = 1.237
- total magnetic moment (μB/cell) = 0.00

a = 7.177 Å, b = 7.177 Å, c = 7.913 Å
α = 116.97°, β = 116.97°, γ = 90.00°
Atoms (fractional coordinates):
Te1 0.957 0.374 0.331
Te2 0.043 0.043 0.669
Tb1 0.000 0.500 0.000
Tb2 0.358 0.358 0.715
Te3 0.374 0.957 0.331
Te4 0.626 0.626 0.669
Tb3 0.642 0.642 0.285
Tb4 0.500 0.000 0.000
Dy1 0.000 0.000 0.000

***

12.
First-principles (PBE) data for a relaxed Tb3Dy4Te8 crystal, as listed in Alexandria via LeMat-Bulk.

Computed properties:
- uncorrected formation energy (eV per formula unit) = -20.6
- space group = C2/m
- density of states at the Fermi level (states/eV/atom) = 0.453
- total magnetic moment (μB/cell) = 0.00

a = 8.690 Å, b = 8.689 Å, c = 8.689 Å
α = 90.01°, β = 119.99°, γ = 119.99°
Atoms (fractional coordinates):
Dy1 0.500 0.000 0.000
Te1 0.500 0.751 0.249
Tb1 0.500 0.500 0.500
Te2 0.511 0.255 0.255
Te3 0.000 0.745 0.255
Te4 0.999 0.255 0.255
Te5 0.001 0.745 0.745
Te6 0.489 0.745 0.745
Dy2 0.000 0.000 0.000
Tb2 0.500 0.500 0.000
Te7 0.500 0.249 0.751
Dy3 0.000 0.500 0.000
Dy4 0.000 0.000 0.500
Tb3 0.500 0.000 0.500
Te8 0.000 0.255 0.745

***

13.
First-principles (PBE) data for a relaxed Tb3DyTe6 crystal, as listed in Alexandria via LeMat-Bulk.

Computed properties:
- uncorrected formation energy (eV per formula unit) = -13.4
- space group = R-3
- total magnetic moment (μB/cell) = 0.00

a = 9.038 Å, b = 9.038 Å, c = 9.038 Å
α = 90.53°, β = 90.53°, γ = 90.53°
Atoms (fractional coordinates):
Dy1 0.500 0.500 0.500
Tb1 0.425 0.918 0.757
Te1 0.589 0.821 0.461
Dy2 0.000 0.000 0.000
Tb2 0.575 0.082 0.243
Te2 0.539 0.411 0.179
Te3 0.821 0.461 0.589
Te4 0.315 0.913 0.091
Tb3 0.757 0.425 0.918
Te5 0.913 0.091 0.315
Te6 0.091 0.315 0.913
Te7 0.179 0.539 0.411
Te8 0.461 0.589 0.821
Te9 0.087 0.909 0.685
Te10 0.685 0.087 0.909
Tb4 0.918 0.757 0.425
Tb5 0.082 0.243 0.575
Tb6 0.243 0.575 0.082
Te11 0.411 0.179 0.539
Te12 0.909 0.685 0.087

***

14.
First-principles (PBE) data for a relaxed Tb3Dy4Te4 crystal, as listed in Alexandria via LeMat-Bulk.

Computed properties:
- uncorrected formation energy (eV per formula unit) = -10.0
- space group = Immm
- density of states at the Fermi level (states/eV/atom) = 1.051
- total magnetic moment (μB/cell) = 0.00

a = 3.903 Å, b = 9.193 Å, c = 10.105 Å
α = 117.06°, β = 101.13°, γ = 90.00°
Atoms (fractional coordinates):
Tb1 0.898 0.898 0.795
Dy1 0.334 0.520 0.668
Dy2 0.666 0.480 0.332
Te1 0.262 0.762 0.524
Te2 0.500 0.201 0.000
Te3 0.500 0.799 0.000
Te4 0.738 0.238 0.476
Tb2 0.000 0.500 0.000
Dy3 0.666 0.851 0.332
Dy4 0.334 0.149 0.668
Tb3 0.102 0.102 0.205

***

15.
First-principles (PBE) data for a relaxed Tb3DyTe4 crystal, as listed in Alexandria via LeMat-Bulk.

Computed properties:
- uncorrected formation energy (eV per formula unit) = -10.4
- space group = Cmmm
- density of states at the Fermi level (states/eV/atom) = 0.614
- total magnetic moment (μB/cell) = 0.00

a = 4.313 Å, b = 7.593 Å, c = 7.593 Å
α = 108.84°, β = 90.00°, γ = 90.00°
Atoms (fractional coordinates):
Tb1 0.500 0.500 0.500
Tb2 0.000 0.000 0.500
Te1 0.000 0.249 0.249
Te2 0.000 0.751 0.751
Dy1 0.500 0.000 0.000
Te3 0.500 0.751 0.249
Te4 0.500 0.249 0.751
Tb3 0.000 0.500 0.000

***

16.
First-principles (PBE) data for a relaxed TbDy2Te2 crystal, as listed in Alexandria via LeMat-Bulk.

Computed properties:
- uncorrected formation energy (eV per formula unit) = -3.6
- space group = C2/m
- density of states at the Fermi level (states/eV/atom) = 0.811
- total magnetic moment (μB/cell) = 0.00

a = 4.674 Å, b = 4.674 Å, c = 7.244 Å
α = 79.36°, β = 79.36°, γ = 78.96°
Atoms (fractional coordinates):
Te1 0.676 0.676 0.795
Te2 0.324 0.324 0.205
Dy1 0.753 0.247 0.500
Tb1 0.000 0.000 0.000
Dy2 0.247 0.753 0.500

***

17.
First-principles (PBE) data for a relaxed Tb3DyTe crystal, as listed in Alexandria via LeMat-Bulk.

Computed properties:
- uncorrected formation energy (eV per formula unit) = -1.7
- space group = C2/m
- density of states at the Fermi level (states/eV/atom) = 1.135
- total magnetic moment (μB/cell) = 0.00

a = 5.798 Å, b = 6.694 Å, c = 9.149 Å
α = 84.59°, β = 90.00°, γ = 115.66°
Atoms (fractional coordinates):
Tb1 0.372 0.744 0.134
Tb2 0.058 0.115 0.157
Tb3 0.140 0.280 0.544
Te1 0.787 0.574 0.132
Dy1 0.422 0.845 0.653
Tb4 0.860 0.720 0.456
Tb5 0.628 0.256 0.866
Dy2 0.578 0.155 0.347
Te2 0.213 0.426 0.868
Tb6 0.942 0.885 0.843

***

18.
First-principles (PBE) data for a relaxed TbDy4Te2 crystal, as listed in Alexandria via LeMat-Bulk.

Computed properties:
- uncorrected formation energy (eV per formula unit) = -3.5
- space group = R-3m
- density of states at the Fermi level (states/eV/atom) = 0.848
- total magnetic moment (μB/cell) = 0.00

a = 5.424 Å, b = 5.424 Å, c = 9.398 Å
α = 73.23°, β = 73.23°, γ = 60.00°
Atoms (fractional coordinates):
Dy1 0.266 0.266 0.203
Dy2 0.134 0.134 0.598
Te1 0.383 0.383 0.851
Dy3 0.734 0.734 0.797
Te2 0.617 0.617 0.149
Dy4 0.866 0.866 0.402
Tb1 0.500 0.500 0.500

***

19.
First-principles (PBE) data for a relaxed Tb2Dy2Te7 crystal, as listed in Alexandria via LeMat-Bulk.

Computed properties:
- uncorrected formation energy (eV per formula unit) = -13.3
- space group = Imm2
- density of states at the Fermi level (states/eV/atom) = 0.474
- total magnetic moment (μB/cell) = 0.00

a = 4.237 Å, b = 9.584 Å, c = 9.584 Å
α = 61.85°, β = 77.23°, γ = 77.23°
Atoms (fractional coordinates):
Te1 0.143 0.141 0.573
Te2 0.500 0.004 0.996
Tb1 0.257 0.340 0.145
Dy1 0.000 0.769 0.231
Dy2 0.500 0.324 0.676
Te3 0.609 0.490 0.292
Te4 0.176 0.722 0.926
Te5 0.391 0.708 0.510
Tb2 0.743 0.855 0.660
Te6 0.824 0.074 0.278
Te7 0.857 0.427 0.859

***

20.
First-principles (PBE) data for a relaxed TbDy6Te8 crystal, as listed in Alexandria via LeMat-Bulk.

Computed properties:
- uncorrected formation energy (eV per formula unit) = -20.5
- space group = Fm-3m
- density of states at the Fermi level (states/eV/atom) = 0.451
- total magnetic moment (μB/cell) = 0.00

a = 8.672 Å, b = 8.672 Å, c = 8.672 Å
α = 60.00°, β = 60.00°, γ = 60.00°
Atoms (fractional coordinates):
Te1 0.743 0.257 0.743
Te2 0.743 0.743 0.257
Dy1 0.500 0.000 0.000
Dy2 0.000 0.500 0.500
Te3 0.743 0.257 0.257
Dy3 0.000 0.500 0.000
Dy4 0.000 0.000 0.500
Te4 0.257 0.257 0.743
Te5 0.250 0.250 0.250
Te6 0.257 0.743 0.743
Te7 0.750 0.750 0.750
Dy5 0.500 0.500 0.000
Tb1 0.000 0.000 0.000
Te8 0.257 0.743 0.257
Dy6 0.500 0.000 0.500

***

21.
First-principles (PBE) data for a relaxed Tb2DyTe4 crystal, as listed in Alexandria via LeMat-Bulk.

Computed properties:
- uncorrected formation energy (eV per formula unit) = -9.4
- space group = Cmcm
- density of states at the Fermi level (states/eV/atom) = 0.419
- total magnetic moment (μB/cell) = 0.00

a = 4.240 Å, b = 7.487 Å, c = 14.995 Å
α = 90.00°, β = 90.00°, γ = 106.45°
Atoms (fractional coordinates):
Te1 0.970 0.941 0.750
Tb1 0.131 0.263 0.430
Te2 0.500 0.000 0.500
Te3 0.030 0.059 0.250
Te4 0.779 0.559 0.377
Te5 0.221 0.441 0.623
Tb2 0.869 0.737 0.570
Te6 0.221 0.441 0.877
Dy1 0.628 0.256 0.750
Te7 0.500 0.000 0.000
Tb3 0.869 0.737 0.930
Dy2 0.372 0.744 0.250
Tb4 0.131 0.263 0.070
Te8 0.779 0.559 0.123

***

22.
First-principles (PBE) data for a relaxed Tb2Dy5Te4 crystal, as listed in Alexandria via LeMat-Bulk.

Computed properties:
- uncorrected formation energy (eV per formula unit) = -7.0
- space group = C2/m
- density of states at the Fermi level (states/eV/atom) = 0.964
- total magnetic moment (μB/cell) = 0.53

a = 4.036 Å, b = 7.321 Å, c = 14.547 Å
α = 118.32°, β = 97.97°, γ = 90.00°
Atoms (fractional coordinates):
Te1 0.597 0.467 0.193
Dy1 0.500 0.000 0.000
Dy2 0.840 0.175 0.679
Tb1 0.266 0.340 0.532
Te2 0.049 0.829 0.098
Te3 0.951 0.171 0.902
Tb2 0.734 0.660 0.468
Te4 0.403 0.533 0.807
Dy3 0.137 0.267 0.275
Dy4 0.863 0.733 0.725
Dy5 0.160 0.825 0.321

***

Number 1: V 26.52 Å³ per atom. Number 2: V 25.85 Å³ per atom. Number 3: V 18.11 Å³ per atom. Number 4: V 26.73 Å³ per atom. Number 5: V 26.05 Å³ per atom. Number 6: V 26.76 Å³ per atom. Number 7: V 29.04 Å³ per atom. Number 8: V 32.43 Å³ per atom. Number 9: V 29.23 Å³ per atom. Number 10: V 28.95 Å³ per atom. Number 11: V 34.75 Å³ per atom. Number 12: V 30.93 Å³ per atom. Number 13: V 36.91 Å³ per atom. Number 14: V 28.65 Å³ per atom. Number 15: V 29.42 Å³ per atom. Number 16: V 30.16 Å³ per atom. Number 17: V 31.83 Å³ per atom. Number 18: V 32.25 Å³ per atom. Number 19: V 30.15 Å³ per atom. Number 20: V 30.75 Å³ per atom. Number 21: V 32.61 Å³ per atom. Number 22: V 33.97 Å³ per atom.